Below is a geometry-optimized ScOsSeN2 structure, with properties calculated at the PBE-GGA level.

Lattice parameters (Å, degrees): 3.9878 3.9878 5.5401 90.00 90.00 90.00
Each line ends with the local moment (μB).
Element x y z (fractional)
Sc 0.0000 0.0000 0.0000  0.05
Os 0.5000 0.5000 0.5000  2.78
Se 0.0000 0.0000 0.5000  0.11
N 0.0000 0.5000 0.0000  0.35
N 0.5000 0.0000 0.0000  0.35

Output
energy relative to the elements, uncorrected = 7.153 eV per formula unit
ρ = 6.45 g cm⁻³
ΔE to the lowest computed polymorph = 1.373 eV/atom
M_tot = 0.85 μB per atom
uncorrected energy = -6.109 eV/atom